1.
VASP calculation (PBE) on crystalline CdSb2H2 at its relaxed geometry.

Cell: 3.359 3.183 11.673 Å, 113.51 89.49 60.64°
Atoms (fractional coordinates):
Cd1 0.000 0.000 0.000
H1 0.759 0.482 0.907
H2 0.241 0.518 0.093
Sb1 0.632 0.730 0.362
Sb2 0.368 0.270 0.638

Calculated values
Distance to the lowest polymorph of the same formula ... 0.0274 eV per atom
Calculated density ... 6.16 g/cm3

***

2.
VASP calculation (PBE) on crystalline MnAs2Ru2 at its relaxed geometry.

Cell: 7.045 7.045 2.894 Å, 90.00 90.00 90.00°
Atoms (fractional coordinates):
Ru1 0.147 0.647 0.500
Ru2 0.647 0.853 0.500
Ru3 0.353 0.147 0.500
Ru4 0.853 0.353 0.500
Mn1 0.000 0.000 0.000
Mn2 0.500 0.500 0.000
As1 0.656 0.156 0.000
As2 0.156 0.344 0.000
As3 0.844 0.656 0.000
As4 0.344 0.844 0.000

Calculated values
Energy relative to the elements ... 1.21 eV per formula unit
Distance to the lowest polymorph of the same formula ... 0.0000 eV per atom
Calculated density ... 9.41 g/cm3

***

3.
VASP calculation (PBE) on crystalline K3Tl7In2 at its relaxed geometry.

Cell: 5.096 5.235 16.038 Å, 99.82 90.00 90.00°
Atoms (fractional coordinates):
In1 0.500 0.638 0.265
In2 0.500 0.362 0.735
Tl1 0.500 0.725 0.452
Tl2 0.500 0.079 0.154
Tl3 0.500 0.275 0.548
Tl4 0.000 0.000 0.000
Tl5 0.000 0.419 0.845
Tl6 0.500 0.921 0.846
Tl7 0.000 0.581 0.155
K1 0.000 0.180 0.354
K2 0.500 0.500 0.000
K3 0.000 0.820 0.646

Calculated values
Energy relative to the elements ... -0.59 eV per formula unit
Distance to the lowest polymorph of the same formula ... 0.0000 eV per atom
Calculated density ... 7.00 g/cm3

***

4.
VASP calculation (PBE) on crystalline PaCuTcRh at its relaxed geometry.

Cell: 4.554 4.554 4.554 Å, 60.00 60.00 60.00°
Atoms (fractional coordinates):
Pa1 0.000 0.000 0.000
Rh1 0.250 0.250 0.250
Cu1 0.500 0.500 0.500
Tc1 0.750 0.750 0.750

Calculated values
Energy relative to the elements ... -0.93 eV per formula unit
Calculated density ... 12.32 g/cm3

***

5.
VASP calculation (PBE) on crystalline CaYNi2Hg at its relaxed geometry.

Cell: 4.878 5.620 4.878 Å, 90.00 90.00 90.00°
Atoms (fractional coordinates):
Hg1 0.000 0.500 0.000
Ca1 0.500 0.500 0.500
Y1 0.000 0.000 0.000
Ni1 0.500 0.000 0.000
Ni2 0.000 0.000 0.500

Calculated values
Energy relative to the elements ... 2.32 eV per formula unit
Calculated density ... 5.55 g/cm3

***

6.
VASP calculation (PBE) on crystalline Ag2Pd2Au5 at its relaxed geometry.

Cell: 5.000 11.149 4.995 Å, 59.34 48.87 48.59°
Atoms (fractional coordinates):
Au1 0.226 0.442 0.667
Au2 0.000 0.000 0.000
Au3 0.118 0.217 0.334
Au4 0.774 0.558 0.333
Au5 0.882 0.783 0.666
Ag1 0.328 0.670 0.998
Ag2 0.672 0.330 0.002
Pd1 0.441 0.891 0.332
Pd2 0.559 0.109 0.668

Calculated values
Energy relative to the elements ... -0.66 eV per formula unit
Distance to the lowest polymorph of the same formula ... 0.0000 eV per atom
Calculated density ... 15.05 g/cm3

***

7.
VASP calculation (PBE) on crystalline MgRe2Ru at its relaxed geometry.

Cell: 4.641 4.641 2.793 Å, 90.00 90.00 90.00°
Atoms (fractional coordinates):
Ru1 0.500 0.000 0.500
Re1 0.500 0.500 0.000
Re2 0.000 0.000 0.000
Mg1 0.000 0.500 0.500

Calculated values
Energy relative to the elements ... 1.99 eV per formula unit
Calculated density ... 13.74 g/cm3

***

8.
VASP calculation (PBE) on crystalline Ac5Ag2 at its relaxed geometry.

Cell: 7.291 7.895 10.140 Å, 96.14 111.07 90.00°
Atoms (fractional coordinates):
Ac1 0.195 0.701 0.559
Ac2 0.418 0.750 0.000
Ac3 0.007 0.068 0.811
Ac4 0.804 0.568 0.811
Ac5 0.636 0.799 0.441
Ac6 0.582 0.250 0.000
Ac7 0.993 0.932 0.189
Ac8 0.196 0.432 0.189
Ac9 0.805 0.299 0.441
Ac10 0.364 0.201 0.559
Ag1 0.794 0.577 0.220
Ag2 0.574 0.923 0.780
Ag3 0.206 0.423 0.780
Ag4 0.426 0.077 0.220

Calculated values
Energy relative to the elements ... -0.74 eV per formula unit
Calculated density ... 8.29 g/cm3

***

9.
VASP calculation (PBE) on crystalline La4Cu3TeO12 at its relaxed geometry.

Cell: 6.881 6.881 6.881 Å, 109.47 109.47 109.47°
Atoms (fractional coordinates):
O1 0.750 0.250 0.500
O2 0.000 0.242 0.242
O3 0.250 0.750 0.500
O4 0.500 0.250 0.750
O5 0.758 0.758 0.000
O6 0.750 0.500 0.250
O7 0.242 0.242 0.000
O8 0.250 0.500 0.750
O9 0.242 0.000 0.242
O10 0.500 0.750 0.250
O11 0.000 0.758 0.758
O12 0.758 0.000 0.758
Te1 0.000 0.000 0.000
La1 0.500 0.500 0.500
La2 0.500 0.000 0.000
La3 0.000 0.500 0.000
La4 0.000 0.000 0.500
Cu1 0.500 0.000 0.500
Cu2 0.500 0.500 0.000
Cu3 0.000 0.500 0.500

Calculated values
Formation energy (no corrections) ... -1987.8 meV/atom
Calculated density ... 7.06 g/cm3

***

10.
VASP calculation (PBE) on crystalline EuMg4Pb at its relaxed geometry.

Cell: 6.143 6.143 6.143 Å, 60.00 60.00 60.00°
Atoms (fractional coordinates):
Mg1 0.625 0.625 0.124
Mg2 0.124 0.625 0.625
Mg3 0.625 0.124 0.625
Mg4 0.625 0.625 0.625
Eu1 0.250 0.250 0.250
Pb1 0.000 0.000 0.000

Calculated values
Energy relative to the elements ... -0.51 eV per formula unit
Calculated density ... 4.62 g/cm3

***

11.
VASP calculation (PBE) on crystalline Fe2CuOs2 at its relaxed geometry.

Cell: 7.092 7.092 2.603 Å, 90.00 90.00 90.00°
Atoms (fractional coordinates):
Fe1 0.880 0.620 0.000
Fe2 0.620 0.120 0.000
Fe3 0.120 0.380 0.000
Fe4 0.380 0.880 0.000
Os1 0.672 0.828 0.500
Os2 0.328 0.172 0.500
Os3 0.828 0.328 0.500
Os4 0.172 0.672 0.500
Cu1 0.000 0.000 0.000
Cu2 0.500 0.500 0.000

Calculated values
Energy relative to the elements ... 1.82 eV per formula unit
Distance to the lowest polymorph of the same formula ... 0.0000 eV per atom
Calculated density ... 14.10 g/cm3

***

12.
VASP calculation (PBE) on crystalline Pm3Pr3Rh2 at its relaxed geometry.

Cell: 5.073 6.735 14.988 Å, 90.00 90.00 112.13°
Atoms (fractional coordinates):
Pm1 0.653 0.306 0.019
Pm2 0.332 0.663 0.250
Pm3 0.668 0.337 0.750
Pm4 0.347 0.694 0.519
Pm5 0.347 0.694 0.981
Pm6 0.653 0.306 0.481
Rh1 0.177 0.355 0.388
Rh2 0.823 0.645 0.612
Rh3 0.823 0.645 0.888
Rh4 0.177 0.355 0.112
Pr1 0.372 0.744 0.750
Pr2 0.048 0.096 0.618
Pr3 0.952 0.904 0.382
Pr4 0.048 0.096 0.882
Pr5 0.628 0.256 0.250
Pr6 0.952 0.904 0.118

Calculated values
Energy relative to the elements ... -2.78 eV per formula unit
Calculated density ... 7.45 g/cm3

***

The following calculated volume values (in Å³/cell) correspond, in order, to the records above: 96.41, 143.60, 421.60, 66.80, 133.72, 155.94, 60.15, 541.12, 250.80, 163.92, 130.89, 474.39.